Material: RbVSO6
Method: DFT, PBE+U
State: relaxed

Summary:
**VASP energy**: -6.4399 eV per atom
**Space group**: P2_12_12_1 (19)

Unit cell a=5.6101 b=9.1705 c=11.3168 alpha=90.00 beta=90.00 gamma=90.00
Element x y z (fractional)
Rb 0.0121 0.1823 0.1485
Rb 0.4879 0.8177 0.6485
Rb 0.5121 0.3177 0.8515
Rb 0.9879 0.6823 0.3515
V 0.0290 0.6527 0.9413
V 0.4710 0.3473 0.4413
V 0.5290 0.8473 0.0587
V 0.9710 0.1527 0.5587
S 0.0191 0.0579 0.7846
S 0.4809 0.9421 0.2846
S 0.5191 0.4421 0.2154
S 0.9809 0.5579 0.7154
O 0.0232 0.1484 0.8901
O 0.0241 0.4989 0.0126
O 0.0489 0.9025 0.8046
O 0.1955 0.2614 0.4890
O 0.2053 0.1116 0.6935
O 0.2061 0.5885 0.7898
O 0.2939 0.4115 0.2898
O 0.2947 0.8884 0.1935
O 0.3045 0.7386 0.9890
O 0.4511 0.0975 0.3046
O 0.4759 0.5011 0.5126
O 0.4768 0.8516 0.3901
O 0.5232 0.3516 0.1099
O 0.5241 0.0011 0.9874
O 0.5489 0.5975 0.1954
O 0.6955 0.2386 0.5110
O 0.7053 0.3884 0.3065
O 0.7061 0.9115 0.2102
O 0.7939 0.0885 0.7102
O 0.7947 0.6116 0.8065
O 0.8045 0.7614 0.0110
O 0.9511 0.4025 0.6954
O 0.9759 0.9989 0.4874
O 0.9768 0.6484 0.6099